The following is a PBEsol calculation of an optimized crystal structure of BeCoRu2, from the Alexandria database.

a b c (Å): 2.602 4.280 4.435
angles (deg): 99.85 90.00 107.69
Fractional positions:
Ru1 0.247 0.493 0.254
Co1 0.500 0.000 0.000
Be1 0.000 0.000 0.500
Ru2 0.753 0.507 0.746

Results
- ΔE_f (meV per atom) = 122

The following is a PBEsol calculation of an optimized crystal structure of Te2Os2Pb, from the Alexandria database.

a b c (Å): 4.245 4.245 7.032
angles (deg): 107.57 107.57 90.00
Fractional positions:
Te1 0.634 0.634 0.268
Te2 0.366 0.366 0.732
Os1 0.250 0.750 0.500
Pb1 0.000 0.000 0.000
Os2 0.750 0.250 0.500

Results
- raw formation energy (meV per atom) = 516

The following is a PBEsol calculation of an optimized crystal structure of SiTeHN2, from the Alexandria database.

a b c (Å): 3.367 3.367 6.189
angles (deg): 90.00 90.00 90.00
Fractional positions:
Te1 0.000 0.000 0.500
N1 0.500 0.000 0.000
Si1 0.000 0.000 0.000
N2 0.000 0.500 0.000
H1 0.500 0.500 0.500

Results
- E (eV for the cell shown) = -26.40

The following is a PBEsol calculation of an optimized crystal structure of FeSiOs2, from the Alexandria database.

a b c (Å): 2.696 4.736 4.920
angles (deg): 117.72 104.21 93.39
Last column: magnetic moment on the atom in μB.
Fractional positions:
Si1 0.500 0.000 0.000  0.01
Os1 0.500 0.500 0.500  0.27
Fe1 0.000 0.500 0.000  2.49
Os2 0.000 0.000 0.500  0.27

Results
- raw formation energy (meV per atom) = 203

The following is a PBEsol calculation of an optimized crystal structure of AlCrMoRu2, from the Alexandria database.

a b c (Å): 4.311 4.311 4.489
angles (deg): 90.00 90.00 90.00
Last column: magnetic moment on the atom in μB.
Fractional positions:
Ru1 0.000 0.500 0.000  -0.38
Cr1 0.500 0.500 0.500  3.11
Mo1 0.000 0.000 0.500  -0.96
Al1 0.000 0.000 0.000  0.00
Ru2 0.500 0.000 0.000  -0.38

Results
- ΔE_f (meV per atom) = 1513

The following is a PBEsol calculation of an optimized crystal structure of FeCuSi2, from the Alexandria database.

a b c (Å): 2.617 2.617 6.699
angles (deg): 90.00 90.00 89.99
Fractional positions:
Si1 0.000 0.000 0.221
Cu1 0.500 0.500 0.500
Si2 0.000 0.000 0.779
Fe1 0.500 0.500 0.000

Results
- raw formation energy (meV per atom) = -114

The following is a PBEsol calculation of an optimized crystal structure of LiLa2Cu2, from the Alexandria database.

a b c (Å): 3.873 7.742 7.742
angles (deg): 90.00 90.00 90.00
Fractional positions:
La1 0.500 0.670 0.830
Cu1 0.000 0.880 0.620
Cu2 0.000 0.620 0.120
Li1 0.000 0.500 0.500
La2 0.500 0.830 0.330
Cu3 0.000 0.120 0.380
La3 0.500 0.330 0.170
Li2 0.000 0.000 0.000
Cu4 0.000 0.380 0.880
La4 0.500 0.170 0.670

Results
- ΔE_f (meV per atom) = -68

The following is a PBEsol calculation of an optimized crystal structure of ErFeNi, from the Alexandria database.

a b c (Å): 4.850 5.008 5.008
angles (deg): 60.71 61.03 61.03
Last column: magnetic moment on the atom in μB.
Fractional positions:
Er1 0.878 0.372 0.872  -0.33
Ni1 0.500 0.500 0.500  0.35
Fe1 0.000 0.000 0.500  1.95
Er2 0.122 0.628 0.128  -0.33
Fe2 0.500 0.000 0.500  1.95
Ni2 0.500 0.000 0.000  0.35

Results
- ΔE_f (meV per atom) = -271

The following is a PBEsol calculation of an optimized crystal structure of HoSiNi, from the Alexandria database.

a b c (Å): 4.105 6.749 7.026
angles (deg): 90.00 90.00 90.00
Fractional positions:
Si1 0.250 0.811 0.412
Si2 0.750 0.189 0.588
Ho1 0.250 0.490 0.699
Si3 0.250 0.311 0.088
Ni1 0.250 0.687 0.083
Ho2 0.250 0.990 0.801
Ho3 0.750 0.010 0.199
Ho4 0.750 0.510 0.301
Ni2 0.750 0.313 0.917
Ni3 0.250 0.187 0.417
Si4 0.750 0.689 0.912
Ni4 0.750 0.813 0.583

Results
- raw formation energy (meV per atom) = -884

The following is a PBEsol calculation of an optimized crystal structure of ZrCuGeAs, from the Alexandria database.

a b c (Å): 3.694 3.694 9.491
angles (deg): 90.00 90.00 90.00
Fractional positions:
Ge1 0.500 0.500 0.000
Zr1 0.000 0.500 0.771
Ge2 0.000 0.000 0.000
As1 0.000 0.500 0.324
Cu1 0.000 0.000 0.500
Zr2 0.500 0.000 0.229
Cu2 0.500 0.500 0.500
As2 0.500 0.000 0.676

Results
- ΔE_f (meV per atom) = -663

The following is a PBEsol calculation of an optimized crystal structure of Li2TiCr3O8, from the Alexandria database.

a b c (Å): 5.787 5.764 5.846
angles (deg): 89.13 119.67 120.14
Last column: magnetic moment on the atom in μB.
Fractional positions:
O1 0.464 0.727 0.201  -0.01
O2 0.969 0.728 0.209  0.00
Li1 0.500 0.500 0.500  0.00
O3 0.536 0.273 0.799  -0.01
O4 0.521 0.759 0.782  0.01
O5 0.479 0.241 0.218  0.01
O6 0.021 0.759 0.782  0.01
O7 0.979 0.241 0.218  0.01
Cr1 0.000 0.500 0.000  2.43
Cr2 0.500 0.000 0.000  2.59
Ti1 0.000 0.000 0.000  0.15
Cr3 0.500 0.500 0.000  2.43
O8 0.031 0.272 0.791  0.00
Li2 0.000 0.500 0.500  0.00

Results
- raw formation energy (meV per atom) = -2196
- energy above the most stable polymorph in this dataset (eV/f.u.) = 0.84

The following is a PBEsol calculation of an optimized crystal structure of NaNiPO4, from the Alexandria database.

a b c (Å): 4.916 4.916 6.646
angles (deg): 90.00 90.00 115.50
Last column: magnetic moment on the atom in μB.
Fractional positions:
O1 0.691 0.794 0.250  0.10
P1 0.336 0.664 0.250  0.01
O2 0.309 0.206 0.750  0.10
Na1 0.686 0.314 0.250  0.00
O3 0.769 0.231 0.562  0.05
O4 0.794 0.691 0.750  0.10
Ni1 0.000 0.000 0.000  1.61
O5 0.206 0.309 0.250  0.10
Ni2 0.000 0.000 0.500  1.61
Na2 0.314 0.686 0.750  0.00
P2 0.664 0.336 0.750  0.01
O6 0.231 0.769 0.438  0.05
O7 0.769 0.231 0.938  0.05
O8 0.231 0.769 0.062  0.05

Results
- raw formation energy (meV per atom) = -1748
- energy above the most stable polymorph in this dataset (eV/f.u.) = 0.05